Entry from the Alexandria database: a geometry-optimized KSi2W structure (PBE-GGA).

Calculated values
formation energy without anion corrections = 0.227 eV per atom
electronic total energy = -47.98 eV for the cell shown
Fermi-level density of states = 3.22 states/eV per cell
total moment = 0.0 Bohr magnetons per cell
mass density = 5.10 g/cm³

abc: 8.387 3.217 6.868
angles: 90.00 100.97 90.00
Space group C2/m (No. 12)
Asymmetric unit:
K 0.000 0.000 0.000 x2
Si 0.228 0.000 0.626 x4
W 0.000 0.500 0.500 x2